# 1
First-principles (PBE-GGA) data for an optimized crystal structure of NdErCuAu, as listed in Alexandria.

Results
The total magnetization comes out at 0.00 μB/f.u. The energy above the lowest structure with this stoichiometry comes out at 0.000 eV/atom. The value obtained for the energy of formation from the pure elements is -50 kJ per mole of atoms.

a b c (Å): 4.5568 3.8057 11.0039
angles (deg): 90.00 90.00 90.00
Space group Amm2 (No. 38)
Unique sites:
Nd 0.0000 0.0000 0.0000
Er 0.5000 0.0000 0.2787
Cu 0.5000 0.0000 0.5638
Au 0.0000 0.0000 0.7208



# 2
First-principles (PBE-GGA) data for an optimized crystal structure of GaCu, as listed in Alexandria.

Results
The total magnetization comes out at 0.00 μB/f.u. The value obtained for the energy of formation from the pure elements is 10 kJ per mole of atoms.

a b c (Å): 4.9009 7.2348 14.0349
angles (deg): 90.00 90.00 90.00
Space group Fddd (No. 70, origin choice 2)
Unique sites:
Ga 0.1250 0.2990 0.1250
Cu 0.1250 0.1250 0.5382



Which formula does entry 1 have?
NdErCuAu